Entry 1:
First-principles (PBE) data for YThCuOs after structural relaxation, as listed in the Alexandria database.

```
YThCuOs
1.0
-0.1172 -4.9721 -0.0381
3.9683 -2.5693 -1.5454
2.7217 -2.5768 3.2695
Os Th Y Cu
1 1 1 1
direct
0.5000 0.5000 0.5000 Os
0.2500 0.2500 0.2500 Th
0.7500 0.7500 0.7500 Y
0.0000 0.0000 0.0000 Cu
```

## Properties
ΔH_f (0 K) ... -20 kJ/mol of atoms
E_tot ... -0.2760 hartree per atom
Space group ... No. 216



Entry 2:
First-principles (PBE) data for Fe2IrOs after structural relaxation, as listed in the Alexandria database.

```
Fe2IrOs
1.0
8.6787 0.0055 0.0032
8.2651 2.6473 0.0032
8.2651 1.2940 2.3095
Ir Os Fe
1 1 2
direct
0.2500 0.2500 0.2500 Ir
0.7500 0.7500 0.7500 Os
0.0003 0.0003 0.0003 Fe
0.4997 0.4997 0.4997 Fe
```

## Properties
ΔH_f (0 K) ... 9 kJ/mol of atoms
E_tot ... -0.3367 hartree per atom
Space group ... No. 166



Entry 3:
First-principles (PBE) data for Mo3Br after structural relaxation, as listed in the Alexandria database.

```
Mo3Br
1.0
5.3810 0.0075 -0.0037
2.5767 4.7239 0.0037
-3.4431 -3.2667 2.5355
Mo Br
3 1
direct
0.5000 0.5000 0.0000 Mo
0.2397 0.7397 0.5000 Mo
0.7603 0.2603 0.5000 Mo
0.0000 0.0000 0.0000 Br
```

## Properties
E_tot ... -0.2868 hartree per atom
Uncorrected formation energy ... 0.74 eV/atom
Space group ... No. 71
E above lowest polymorph ... 0.306 eV per atom



Entry 4:
First-principles (PBE) data for Nd12Hg3Br5 after structural relaxation, as listed in the Alexandria database.

```
Nd12Hg3Br5
1.0
-1.2118 13.8824 -6.4995
-5.9013 -10.6099 -9.4360
-7.7052 -0.1200 13.3059
Br Hg Nd
20 12 48
direct
0.6250 0.8750 0.2500 Br
0.7500 0.6250 0.3750 Br
0.8750 0.2500 0.6250 Br
0.5000 0.5000 0.5000 Br
0.3750 0.2500 0.1250 Br
0.8750 0.6250 0.7500 Br
0.2500 0.3750 0.6250 Br
0.0000 0.5000 0.0000 Br
0.0000 0.0000 0.5000 Br
0.5000 0.0000 0.5000 Br
0.0000 0.5000 0.5000 Br
0.3750 0.1250 0.7500 Br
0.6250 0.7500 0.8750 Br
0.5000 0.0000 0.0000 Br
0.5000 0.5000 0.0000 Br
0.7500 0.1250 0.8750 Br
0.1250 0.3750 0.2500 Br
0.0000 0.0000 0.0000 Br
0.2500 0.8750 0.1250 Br
0.1250 0.7500 0.3750 Br
0.1250 0.8750 0.7500 Hg
0.7500 0.3750 0.1250 Hg
0.8750 0.7500 0.1250 Hg
0.3750 0.6250 0.2500 Hg
0.8750 0.1250 0.2500 Hg
0.3750 0.7500 0.6250 Hg
0.1250 0.2500 0.8750 Hg
0.7500 0.8750 0.6250 Hg
0.6250 0.2500 0.3750 Hg
0.2500 0.1250 0.3750 Hg
0.2500 0.6250 0.8750 Hg
0.6250 0.3750 0.7500 Hg
0.7229 0.5953 0.1722 Nd
0.4047 0.1276 0.5769 Nd
0.6276 0.0507 0.2229 Nd
0.4047 0.2771 0.3278 Nd
0.2771 0.4047 0.8278 Nd
0.5507 0.3278 0.9231 Nd
0.9231 0.0953 0.8724 Nd
0.1722 0.0953 0.7229 Nd
0.5507 0.2229 0.1276 Nd
0.7771 0.3278 0.9047 Nd
0.3724 0.4231 0.0953 Nd
0.5769 0.9493 0.6722 Nd
0.0507 0.4231 0.8278 Nd
0.8724 0.5953 0.9231 Nd
0.4493 0.6722 0.0769 Nd
0.0953 0.9231 0.3724 Nd
0.1722 0.0769 0.9493 Nd
0.8724 0.2771 0.4493 Nd
0.5769 0.6276 0.4047 Nd
0.3724 0.9493 0.7771 Nd
0.9047 0.8278 0.7771 Nd
0.6722 0.4493 0.5769 Nd
0.4493 0.7771 0.8724 Nd
0.4231 0.0507 0.3278 Nd
0.6276 0.5769 0.9047 Nd
0.9231 0.8278 0.5507 Nd
0.1276 0.7229 0.5507 Nd
0.8278 0.9231 0.0507 Nd
0.0769 0.9047 0.1276 Nd
0.2771 0.8724 0.9493 Nd
0.8278 0.9047 0.2771 Nd
0.9047 0.0769 0.6276 Nd
0.4231 0.3724 0.5953 Nd
0.0953 0.1722 0.2229 Nd
0.3278 0.7771 0.4047 Nd
0.2229 0.6722 0.0953 Nd
0.1276 0.4047 0.0769 Nd
0.0507 0.6276 0.7229 Nd
0.5953 0.7229 0.6722 Nd
0.6722 0.2229 0.5953 Nd
0.2229 0.5507 0.6276 Nd
0.7771 0.4493 0.3724 Nd
0.3278 0.5507 0.4231 Nd
0.7229 0.1276 0.0507 Nd
0.9493 0.3724 0.2771 Nd
0.0769 0.1722 0.4493 Nd
0.5953 0.8724 0.4231 Nd
0.9493 0.5769 0.1722 Nd
```

## Properties
E_tot ... -0.1377 hartree per atom
Uncorrected formation energy ... -0.42 eV/atom
Space group ... No. 230



Entry 5:
First-principles (PBE) data for Dy2Zn15Ru2 after structural relaxation, as listed in the Alexandria database.

```
Dy2Zn15Ru2
1.0
-4.4850 4.9089 1.1458
-2.8899 -0.1321 -6.0956
-5.1608 -4.0171 1.6597
Zn Dy Ru
15 2 2
direct
0.0000 0.2866 0.7134 Zn
0.7134 0.0000 0.2866 Zn
0.8499 0.3512 0.3512 Zn
0.0000 0.5000 0.0000 Zn
0.0000 0.0000 0.5000 Zn
0.1501 0.6488 0.6488 Zn
0.6488 0.1501 0.6488 Zn
0.6488 0.6488 0.1501 Zn
0.0000 0.7134 0.2866 Zn
0.5000 0.0000 0.0000 Zn
0.2866 0.7134 0.0000 Zn
0.7134 0.2866 0.0000 Zn
0.3512 0.3512 0.8499 Zn
0.2866 0.0000 0.7134 Zn
0.3512 0.8499 0.3512 Zn
0.3314 0.3314 0.3314 Dy
0.6686 0.6686 0.6686 Dy
0.1012 0.1012 0.1012 Ru
0.8988 0.8988 0.8988 Ru
```

## Properties
ΔH_f (0 K) ... -20 kJ/mol of atoms
E_tot ... -0.0982 hartree per atom
Space group ... No. 166



Entry 6:
First-principles (PBE) data for CaCo2Br after structural relaxation, as listed in the Alexandria database.

```
CaCo2Br
1.0
-5.3342 0.5735 -0.4452
2.9269 -2.1395 -3.9795
-0.4376 -3.0478 1.3168
Co Br Ca
2 1 1
direct
0.5000 0.5000 0.0000 Co
0.0000 0.0000 0.0000 Co
0.5000 0.0000 0.5000 Br
0.0000 0.5000 0.5000 Ca
```

## Properties
E_tot ... -0.1435 hartree per atom
Uncorrected formation energy ... 0.57 eV/atom
Space group ... No. 65
E above lowest polymorph ... 0.739 eV per atom



Entry 7:
First-principles (PBE) data for Ba2CO5 after structural relaxation, as listed in the Alexandria database.

```
Ba2CO5
1.0
-4.0107 -0.0712 0.3432
2.3595 -2.1503 3.5139
0.4493 13.7317 8.1014
O Ba C
10 4 2
direct
0.4290 0.8580 0.5281 O
0.5710 0.1420 0.0281 O
0.8118 0.6236 0.6764 O
0.1479 0.2958 0.7500 O
0.5710 0.1420 0.4719 O
0.1882 0.3764 0.3236 O
0.4290 0.8580 0.9719 O
0.8521 0.7042 0.2500 O
0.1882 0.3764 0.1764 O
0.8118 0.6236 0.8236 O
0.8822 0.7644 0.0982 Ba
0.8822 0.7644 0.4018 Ba
0.1178 0.2356 0.5982 Ba
0.1178 0.2356 0.9018 Ba
0.2232 0.4464 0.2500 C
0.7768 0.5536 0.7500 C
```

## Properties
E_tot ... -0.2347 hartree per atom
Uncorrected formation energy ... -1.65 eV/atom
Space group ... No. 63



Entry 8:
First-principles (PBE) data for Li2TaIn after structural relaxation, as listed in the Alexandria database.

```
Li2TaIn
1.0
3.0241 0.0000 0.0000
0.0000 4.9962 0.0000
0.0000 0.0000 4.8982
Li Ta In
2 1 1
direct
0.0000 0.0000 0.0000 Li
0.5000 0.5000 0.0000 Li
0.5000 0.0000 0.5000 Ta
0.0000 0.5000 0.5000 In
```

## Properties
ΔH_f (0 K) ... 24 kJ/mol of atoms
E_tot ... -0.1602 hartree per atom
Space group ... No. 47



Entry 9:
First-principles (PBE) data for LaMgSe2O8 after structural relaxation, as listed in the Alexandria database.

```
LaMgSe2O8
1.0
5.5456 0.0000 0.0000
-2.7728 4.8026 0.0000
0.0000 0.0000 6.9865
Mg O La Se
1 8 1 2
direct
0.0000 0.0000 0.0000 Mg
0.3333 0.6667 0.4954 O
0.3129 0.1565 0.2066 O
0.6871 0.8435 0.7934 O
0.1565 0.3129 0.7934 O
0.8435 0.1565 0.2066 O
0.6667 0.3333 0.5046 O
0.1565 0.8435 0.7934 O
0.8435 0.6871 0.2066 O
0.0000 0.0000 0.5000 La
0.6667 0.3333 0.2634 Se
0.3333 0.6667 0.7366 Se
```

## Properties
E_tot ... -0.2194 hartree per atom
Uncorrected formation energy ... -1.54 eV/atom
Space group ... No. 164



Entry 10:
First-principles (PBE) data for Sr2CaMg after structural relaxation, as listed in the Alexandria database.

```
Sr2CaMg
1.0
5.9267 0.0000 0.0000
0.0000 4.0637 0.1466
0.0000 1.7379 7.3256
Sr Mg Ca
2 1 1
direct
0.0000 0.9601 0.9587 Sr
0.5000 0.2939 0.2844 Sr
0.5000 0.5621 0.7541 Mg
0.0000 0.6840 0.5027 Ca
```

## Properties
ΔH_f (0 K) ... 4 kJ/mol of atoms
E_tot ... -0.0623 hartree per atom
Space group ... No. 6



Entry 11:
First-principles (PBE) data for HfBeZn2 after structural relaxation, as listed in the Alexandria database.

```
HfBeZn2
1.0
-1.7158 3.0904 -1.1569
-2.1945 -0.0948 3.0013
4.2834 6.7309 5.6491
Zn Be Hf
4 2 2
direct
0.1507 0.6250 0.2500 Zn
0.3750 0.4007 0.7500 Zn
0.8750 0.8493 0.7500 Zn
0.5993 0.1250 0.2500 Zn
0.2500 0.7500 0.5000 Be
0.5000 0.5000 0.0000 Be
0.0000 0.0000 0.0000 Hf
0.7500 0.2500 0.5000 Hf
```

## Properties
ΔH_f (0 K) ... 29 kJ/mol of atoms
E_tot ... -0.1381 hartree per atom
Space group ... No. 122



Entry 12:
First-principles (PBE) data for Li2HoAlPd4 after structural relaxation, as listed in the Alexandria database.

```
Li2HoAlPd4
1.0
-1.5086 4.1609 -0.2339
-2.2239 1.3525 -3.5872
-7.6520 -0.3076 1.8901
Pd Li Al Ho
4 2 1 1
direct
0.6123 0.6123 0.1630 Pd
0.1302 0.1302 0.6094 Pd
0.8698 0.8698 0.3906 Pd
0.3877 0.3877 0.8370 Pd
0.2457 0.2457 0.2628 Li
0.7543 0.7543 0.7372 Li
0.5000 0.5000 0.5000 Al
0.0000 0.0000 0.0000 Ho
```

## Properties
ΔH_f (0 K) ... -71 kJ/mol of atoms
E_tot ... -0.1782 hartree per atom
Space group ... No. 166



Entry 13:
First-principles (PBE) data for KTaSiRu2 after structural relaxation, as listed in the Alexandria database.

```
KTaSiRu2
1.0
-1.5661 4.4286 -0.3688
-5.3705 -1.9181 -0.2277
-0.3006 0.2845 4.6935
Ru Si K Ta
2 1 1 1
direct
0.5000 0.0000 0.0000 Ru
0.0000 0.0000 0.5000 Ru
0.5000 0.5000 0.5000 Si
0.0000 0.5000 0.0000 K
0.0000 0.0000 0.0000 Ta
```

## Properties
E_tot ... -0.2071 hartree per atom
Uncorrected formation energy ... 1.75 eV/atom
Space group ... No. 123



Entry 14:
First-principles (PBE) data for HfZnAs2 after structural relaxation, as listed in the Alexandria database.

```
HfZnAs2
1.0
-3.4610 3.5366 -3.2776
-3.5512 0.8597 4.6775
-0.2735 6.8447 2.3002
As Zn Hf
4 2 2
direct
0.1358 0.6250 0.2500 As
0.3750 0.3858 0.7500 As
0.6142 0.1250 0.2500 As
0.8750 0.8642 0.7500 As
0.2500 0.7500 0.5000 Zn
0.5000 0.5000 0.0000 Zn
0.0000 0.0000 0.0000 Hf
0.7500 0.2500 0.5000 Hf
```

## Properties
ΔH_f (0 K) ... -30 kJ/mol of atoms
E_tot ... -0.2000 hartree per atom
Space group ... No. 122



Entry 15:
First-principles (PBE) data for La2Sm2Tm3 after structural relaxation, as listed in the Alexandria database.

```
La2Sm2Tm3
1.0
-3.0679 0.2380 4.8327
-0.0792 -3.4793 0.1210
5.3079 0.3497 13.5260
Tm Sm La
3 2 2
direct
0.1421 0.0000 0.5719 Tm
0.8579 0.0000 0.4281 Tm
0.0000 0.0000 0.0000 Tm
0.7178 0.0000 0.8543 Sm
0.2822 0.0000 0.1457 Sm
0.5578 0.5000 0.2951 La
0.4422 0.5000 0.7049 La
```

## Properties
ΔH_f (0 K) ... 13 kJ/mol of atoms
E_tot ... -0.1668 hartree per atom
Space group ... No. 10



Entry 16:
First-principles (PBE) data for ReAu2Br2 after structural relaxation, as listed in the Alexandria database.

```
ReAu2Br2
1.0
-2.8265 0.3958 -2.3315
-1.8211 -2.6822 1.7524
-6.3801 5.5679 5.7674
Re Au Br
1 2 2
direct
0.0000 0.0000 0.0000 Re
0.4310 0.4310 0.1379 Au
0.5690 0.5690 0.8621 Au
0.2500 0.7500 0.5000 Br
0.7500 0.2500 0.5000 Br
```

## Properties
E_tot ... -0.1188 hartree per atom
Uncorrected formation energy ... 1.24 eV/atom
Space group ... No. 139
E above lowest polymorph ... 0.146 eV per atom



Entry 17:
First-principles (PBE) data for PuCd5Au3 after structural relaxation, as listed in the Alexandria database.

```
PuCd5Au3
1.0
3.1716 0.0000 0.0000
-1.5858 7.7658 0.0000
0.0000 0.0000 16.0419
Cd Pu Au
10 2 6
direct
0.5269 0.0538 0.6609 Cd
0.8140 0.6280 0.0732 Cd
0.0000 0.0000 0.5000 Cd
0.0000 0.0000 0.0000 Cd
0.4731 0.9462 0.1609 Cd
0.1860 0.3720 0.5732 Cd
0.4731 0.9462 0.3391 Cd
0.1860 0.3720 0.9268 Cd
0.5269 0.0538 0.8391 Cd
0.8140 0.6280 0.4268 Cd
0.8345 0.6691 0.7500 Pu
0.1655 0.3309 0.2500 Pu
0.6361 0.2721 0.4193 Au
0.1615 0.3230 0.7500 Au
0.6361 0.2721 0.0807 Au
0.3639 0.7279 0.5807 Au
0.8385 0.6770 0.2500 Au
0.3639 0.7279 0.9193 Au
```

## Properties
ΔH_f (0 K) ... -16 kJ/mol of atoms
E_tot ... -0.1235 hartree per atom
Space group ... No. 63



Entry 18:
First-principles (PBE) data for RbSi2Te8Rh after structural relaxation, as listed in the Alexandria database.

```
RbSi2Te8Rh
1.0
-0.6267 -0.2821 -6.5512
-5.0648 -3.2427 -2.6875
-8.1577 8.4507 -2.8952
Te Si Rh Rb
8 2 1 1
direct
0.6870 0.0905 0.8700 Te
0.9095 0.6476 0.1300 Te
0.3524 0.6870 0.8700 Te
0.8064 0.8064 0.5808 Te
0.3130 0.9095 0.1300 Te
0.1936 0.1936 0.4192 Te
0.6476 0.3130 0.1300 Te
0.0905 0.3524 0.8700 Te
0.2648 0.2648 0.2057 Si
0.7352 0.7352 0.7943 Si
0.0000 0.0000 0.0000 Rh
0.5000 0.5000 0.5000 Rb
```

## Properties
E_tot ... -0.1403 hartree per atom
Uncorrected formation energy ... -0.13 eV/atom
Space group ... No. 148



Entry 19:
First-principles (PBE) data for Li2InCl after structural relaxation, as listed in the Alexandria database.

```
Li2InCl
1.0
-1.8596 -2.6142 -0.2652
0.5129 -0.6972 3.2760
-6.2464 4.1877 2.5206
Cl Li In
1 2 1
direct
0.5000 0.2500 0.2500 Cl
0.0000 0.3193 0.4607 Li
0.0000 0.1807 0.0393 Li
0.5000 0.7500 0.7500 In
```

## Properties
E_tot ... -0.1081 hartree per atom
Uncorrected formation energy ... -0.84 eV/atom
Space group ... No. 10
E above lowest polymorph ... 0.066 eV per atom



Entry 20:
First-principles (PBE) data for LiTmPuTc after structural relaxation, as listed in the Alexandria database.

```
LiTmPuTc
1.0
-2.8756 0.4400 3.8927
0.0070 -3.4446 3.4278
1.9379 0.9160 4.3613
Li Tc Tm Pu
1 1 1 1
direct
0.0000 0.0000 0.0000 Li
0.5000 0.5000 0.5000 Tc
0.2500 0.2500 0.2500 Tm
0.7500 0.7500 0.7500 Pu
```

## Properties
ΔH_f (0 K) ... 7 kJ/mol of atoms
E_tot ... -0.2831 hartree per atom
Space group ... No. 216



Entry 21:
First-principles (PBE) data for Pr8HoTm3 after structural relaxation, as listed in the Alexandria database.

```
Pr8HoTm3
1.0
-0.1677 11.6592 3.0151
-11.0295 -5.4138 -3.7333
8.6764 -1.0916 4.7036
Pr Ho Tm
8 1 3
direct
0.1848 0.8656 0.0317 Pr
0.3192 0.1344 0.9683 Pr
0.3176 0.6351 0.9715 Pr
0.6824 0.3649 0.0285 Pr
0.1813 0.3626 0.0301 Pr
0.6808 0.8656 0.0317 Pr
0.8152 0.1344 0.9683 Pr
0.8187 0.6374 0.9699 Pr
0.0000 0.0000 0.0000 Ho
0.0000 0.5000 0.0000 Tm
0.5000 0.5000 0.0000 Tm
0.5000 0.0000 0.0000 Tm
```

## Properties
ΔH_f (0 K) ... 11 kJ/mol of atoms
E_tot ... -0.1682 hartree per atom
Space group ... No. 12